# 1
First-principles (PBE-GGA) data for crystalline CuIrPb2 at its relaxed geometry, as listed in Alexandria.

The calculated formation energy comes out at 0.41 eV/atom. The total magnetization is 0.00 μB per cell. For the offset from the most stable computed form, the calculation gives 0.1820 eV/atom. Its final energy is -18.7 eV/f.u. The calculation puts the density at 12.46 Mg/m³.

The space group is R3m (No. 160, hexagonal axes) and the conventional cell measures 3.2486, 3.2486 and 29.3121 Å, with angles of 90.00, 90.00 and 120.00 degrees. Symmetry generates all atoms from Cu at (0.0000, 0.0000, 0.0000), Ir at (0.0000, 0.0000, 0.7278), Pb at (0.0000, 0.0000, 0.2592) and Pb at (0.0000, 0.0000, 0.4681).

# 2
First-principles (PBE-GGA) data for crystalline CuIr2Pb at its relaxed geometry, as listed in Alexandria.

The calculated formation energy comes out at 0.56 eV/atom. The total magnetization is 0.00 μB per cell. Its final energy is -23.3 eV/f.u. The calculation puts the density at 14.70 Mg/m³.

The space group is I-42d (No. 122) and the conventional cell measures 4.030, 4.030 and 18.225 Å, with angles of 90.00, 90.00 and 90.00 degrees. Symmetry generates all atoms from Cu at (0.000, 0.000, 0.000), Ir at (0.184, 0.250, 0.125) and Pb at (0.000, 0.000, 0.500).

# 3
First-principles (PBE-GGA) data for crystalline CuIr2Pb at its relaxed geometry, as listed in Alexandria.

The calculated formation energy comes out at 0.38 eV/atom. The total magnetization is 0.00 μB per cell. Its final energy is -24.0 eV/f.u. The calculation puts the density at 16.44 Mg/m³.

The space group is C2/m (No. 12) and the conventional cell measures 8.860, 3.026 and 5.020 Å, with angles of 90.00, 100.49 and 90.00 degrees. Symmetry generates all atoms from Cu at (0.000, 0.000, 0.000), Ir at (0.242, 0.500, 0.216) and Pb at (0.000, 0.500, 0.500).

# 4
First-principles (PBE-GGA) data for crystalline CuIrPb2 at its relaxed geometry, as listed in Alexandria.

The calculated formation energy comes out at 0.23 eV/atom. The total magnetization is 0.00 μB per cell. For the offset from the most stable computed form, the calculation gives 0.0000 eV/atom. Its final energy is -19.5 eV/f.u. The calculation puts the density at 13.37 Mg/m³.

The space group is Pm (No. 6) and the conventional cell measures 3.818, 4.282 and 5.436 Å, with angles of 90.00, 110.55 and 90.00 degrees. Symmetry generates all atoms from Cu at (0.000, 0.000, 0.000), Ir at (0.150, 0.500, 0.293), Pb at (0.436, 0.500, 0.868) and Pb at (0.726, 0.000, 0.447).

# 5
First-principles (PBE-GGA) data for crystalline Cu4IrPb at its relaxed geometry, as listed in Alexandria.

The calculated formation energy comes out at 0.26 eV/atom. The total magnetization is 0.00 μB per cell. Its final energy is -27.4 eV/f.u. The calculation puts the density at 12.50 Mg/m³.

The space group is F-43m (No. 216) and the conventional cell measures 7.029, 7.029 and 7.029 Å, with angles of 90.00, 90.00 and 90.00 degrees. Symmetry generates all atoms from Cu at (0.124, 0.124, 0.124), Ir at (0.250, 0.250, 0.750) and Pb at (0.000, 0.000, 0.500).

# 6
First-principles (PBE-GGA) data for crystalline CuIr2Pb at its relaxed geometry, as listed in Alexandria.

The calculated formation energy comes out at 0.42 eV/atom. The total magnetization is 0.00 μB per cell. Its final energy is -23.8 eV/f.u. The calculation puts the density at 15.71 Mg/m³.

The space group is Cm (No. 8) and the conventional cell measures 8.647, 2.964 and 5.473 Å, with angles of 90.00, 99.16 and 90.00 degrees. Symmetry generates all atoms from Cu at (0.000, 0.000, 0.000), Ir at (0.020, 0.500, 0.606), Ir at (0.259, 0.000, 0.800) and Pb at (0.262, 0.500, 0.288).

# 7
First-principles (PBE-GGA) data for crystalline CuIr3Pb at its relaxed geometry, as listed in Alexandria.

The calculated formation energy comes out at 1.30 eV/atom. The total magnetization is 0.00 μB per cell. For the offset from the most stable computed form, the calculation gives 0.0000 eV/atom. Its final energy is -27.9 eV/f.u. The calculation puts the density at 14.86 Mg/m³.

The space group is Pm-3m (No. 221) and the conventional cell measures 4.558, 4.558 and 4.558 Å, with angles of 90.00, 90.00 and 90.00 degrees. Symmetry generates all atoms from Cu at (0.000, 0.000, 0.000), Ir at (0.000, 0.000, 0.500) and Pb at (0.500, 0.500, 0.500).

# 8
First-principles (PBE-GGA) data for crystalline CuIrPb4 at its relaxed geometry, as listed in Alexandria.

The calculated formation energy comes out at 1.02 eV/atom. The total magnetization is 0.00 μB per cell. Its final energy is -21.7 eV/f.u. The calculation puts the density at 10.81 Mg/m³.

The space group is F-43m (No. 216) and the conventional cell measures 8.735, 8.735 and 8.735 Å, with angles of 90.00, 90.00 and 90.00 degrees. Symmetry generates all atoms from Cu at (0.000, 0.000, 0.000), Ir at (0.250, 0.250, 0.750) and Pb at (0.124, 0.124, 0.376).

# 9
First-principles (PBE-GGA) data for crystalline CuIrPb2 at its relaxed geometry, as listed in Alexandria.

The calculated formation energy comes out at 0.29 eV/atom. The total magnetization is 0.00 μB per cell. For the offset from the most stable computed form, the calculation gives 0.0554 eV/atom. Its final energy is -19.2 eV/f.u. The calculation puts the density at 12.03 Mg/m³.

The space group is Cm (No. 8) and the conventional cell measures 8.520, 3.333 and 6.622 Å, with angles of 90.00, 100.29 and 90.00 degrees. Symmetry generates all atoms from Cu at (0.000, 0.000, 0.000), Ir at (0.229, 0.500, 0.139), Pb at (0.253, 0.000, 0.784) and Pb at (0.471, 0.000, 0.360).

# 10
First-principles (PBE-GGA) data for crystalline CuIrPb2 at its relaxed geometry, as listed in Alexandria.

The calculated formation energy comes out at 0.60 eV/atom. The total magnetization is 0.00 μB per cell. For the offset from the most stable computed form, the calculation gives 0.3715 eV/atom. Its final energy is -18.0 eV/f.u. The calculation puts the density at 13.34 Mg/m³.

The space group is F-43m (No. 216) and the conventional cell measures 6.936, 6.936 and 6.936 Å, with angles of 90.00, 90.00 and 90.00 degrees. Symmetry generates all atoms from Cu at (0.000, 0.000, 0.000), Ir at (0.250, 0.250, 0.250), Pb at (0.000, 0.000, 0.500) and Pb at (0.250, 0.250, 0.750).

# 11
First-principles (PBE-GGA) data for crystalline CuIr2Pb at its relaxed geometry, as listed in Alexandria.

The calculated formation energy comes out at 0.61 eV/atom. The total magnetization is 0.00 μB per cell. Its final energy is -23.1 eV/f.u. The calculation puts the density at 16.19 Mg/m³.

The space group is R-3m (No. 166, hexagonal axes) and the conventional cell measures 3.0508, 3.0508 and 25.0180 Å, with angles of 90.00, 90.00 and 120.00 degrees. Symmetry generates all atoms from Cu at (0.0000, 0.0000, 0.0000), Ir at (0.0000, 0.0000, 0.2575) and Pb at (0.0000, 0.0000, 0.5000).

# 12
First-principles (PBE-GGA) data for crystalline CuIr2Pb at its relaxed geometry, as listed in Alexandria.

The calculated formation energy comes out at 0.41 eV/atom. The total magnetization is 0.00 μB per cell. Its final energy is -23.9 eV/f.u. The calculation puts the density at 15.87 Mg/m³.

The space group is Pmm2 (No. 25) and the conventional cell measures 2.877, 3.750 and 6.353 Å, with angles of 90.00, 90.00 and 90.00 degrees. Symmetry generates all atoms from Cu at (0.000, 0.000, 0.000), Ir at (0.000, 0.000, 0.406), Ir at (0.500, 0.500, 0.198) and Pb at (0.500, 0.500, 0.704).

# 13
First-principles (PBE-GGA) data for crystalline CuIr2Pb at its relaxed geometry, as listed in Alexandria.

The calculated formation energy comes out at 0.51 eV/atom. The total magnetization is 0.00 μB per cell. Its final energy is -23.5 eV/f.u. The calculation puts the density at 16.40 Mg/m³.

The space group is Pmmm (No. 47) and the conventional cell measures 2.957, 4.641 and 4.835 Å, with angles of 90.00, 90.00 and 90.00 degrees. Symmetry generates all atoms from Cu at (0.000, 0.000, 0.000), Ir at (0.000, 0.500, 0.500), Ir at (0.500, 0.500, 0.000) and Pb at (0.500, 0.000, 0.500).

# 14
First-principles (PBE-GGA) data for crystalline CuIrPb2 at its relaxed geometry, as listed in Alexandria.

The calculated formation energy comes out at 0.24 eV/atom. The total magnetization is 0.00 μB per cell. For the offset from the most stable computed form, the calculation gives 0.0126 eV/atom. Its final energy is -19.4 eV/f.u. The calculation puts the density at 12.57 Mg/m³.

The space group is P4mm (No. 99) and the conventional cell measures 3.287, 3.287 and 8.195 Å, with angles of 90.00, 90.00 and 90.00 degrees. Symmetry generates all atoms from Cu at (0.000, 0.000, 0.000), Ir at (0.500, 0.500, 0.154), Pb at (0.000, 0.000, 0.376) and Pb at (0.500, 0.500, 0.787).

# 15
First-principles (PBE-GGA) data for crystalline CuIrPb2 at its relaxed geometry, as listed in Alexandria.

The calculated formation energy comes out at 0.50 eV/atom. The total magnetization is 0.00 μB per cell. For the offset from the most stable computed form, the calculation gives 0.2675 eV/atom. Its final energy is -18.4 eV/f.u. The calculation puts the density at 13.47 Mg/m³.

The space group is I-4m2 (No. 119) and the conventional cell measures 4.085, 4.085 and 9.901 Å, with angles of 90.00, 90.00 and 90.00 degrees. Symmetry generates all atoms from Cu at (0.000, 0.000, 0.000), Ir at (0.000, 0.500, 0.750), Pb at (0.000, 0.000, 0.500) and Pb at (0.000, 0.500, 0.250).